Density functional theory data (PBE-GGA) for KPd2S2 after structural relaxation.

Output
Symmetry: I4/mmm, No. 139
VASP energy (hartree per atom): -0.163
ΔE to the lowest computed polymorph (meV per atom): 0
ΔE_f (raw) (eV/atom): -0.49

a b c (Å): 4.684 4.684 6.111
angles (deg): 67.47 67.47 90.00
Fractional coordinates of all 5 atoms:
S (0.250, 0.750, 0.500)
S (0.750, 0.250, 0.500)
Pd (0.313, 0.313, 0.374)
Pd (0.687, 0.687, 0.626)
K (0.000, 0.000, 0.000)